1.
DFT (GGA-PBE) results for a relaxed Sr2LiAg4Ge3 crystal.

a = 4.565 Å, b = 4.565 Å, c = 10.645 Å
α = 90.00°, β = 90.00°, γ = 90.00°
Atoms (fractional coordinates):
Sr: 0.000 0.500 0.244
Sr: 0.500 0.000 0.756
Li: 0.000 0.000 0.500
Ag: 0.000 0.000 0.000
Ag: 0.000 0.500 0.622
Ag: 0.500 0.000 0.378
Ag: 0.500 0.500 0.000
Ge: 0.000 0.500 0.865
Ge: 0.500 0.000 0.135
Ge: 0.500 0.500 0.500

Values from the calculation:
The space group is P-4m2. The formation enthalpy at 0 K is -0.31 eV per atom. The spin magnetization is 0.0 Bohr magnetons per cell.

***

2.
DFT (GGA-PBE) results for a relaxed Zn2HgN crystal.

a = 6.019 Å, b = 6.019 Å, c = 6.019 Å
α = 121.71°, β = 121.71°, γ = 87.06°
Atoms (fractional coordinates):
Zn: 0.375 0.233 0.358
Zn: 0.767 0.125 0.142
Zn: 0.875 0.017 0.642
Zn: 0.983 0.625 0.858
Hg: 0.250 0.750 0.500
Hg: 0.500 0.500 0.000
N: 0.000 0.000 0.000
N: 0.750 0.250 0.500

Values from the calculation:
For the formation energy from raw total energies, the calculation gives 0.16 eV/atom. The space group is I-42d. As for the energy above the most stable polymorph in this dataset: 0.00 eV/f.u. The spin magnetization is 0.0 Bohr magnetons per cell.

***

3.
DFT (GGA-PBE) results for a relaxed Na3CaBi2 crystal.

a = 4.132 Å, b = 10.316 Å, c = 8.784 Å
α = 90.00°, β = 90.00°, γ = 90.00°
Atoms (fractional coordinates):
Na: 0.000 0.085 0.000
Na: 0.000 0.325 0.448
Na: 0.000 0.675 0.948
Na: 0.000 0.915 0.500
Na: 0.500 0.168 0.685
Na: 0.500 0.832 0.185
Ca: 0.500 0.410 0.110
Ca: 0.500 0.590 0.610
Bi: 0.000 0.390 0.812
Bi: 0.000 0.610 0.312
Bi: 0.500 0.127 0.298
Bi: 0.500 0.873 0.798

Values from the calculation:
The space group is Pmc2_1. The formation enthalpy at 0 K is -0.48 eV per atom. The spin magnetization is 0.0 Bohr magnetons per cell.

***

4.
DFT (GGA-PBE) results for a relaxed MgTaAs crystal.

a = 7.090 Å, b = 6.911 Å, c = 2.989 Å
α = 81.06°, β = 74.33°, γ = 24.61°
Atoms (fractional coordinates):
Mg: 0.000 0.000 0.000
Ta: 0.671 0.671 0.329
As: 0.315 0.315 0.685

Values from the calculation:
The space group is Fmm2. The formation enthalpy at 0 K is -0.01 eV per atom. As for the energy above the most stable polymorph in this dataset: 0.30 eV/f.u. The spin magnetization is 0.0 Bohr magnetons per cell.

***

5.
DFT (GGA-PBE) results for a relaxed CsTaBe crystal.

a = 3.873 Å, b = 3.873 Å, c = 13.398 Å
α = 98.14°, β = 98.14°, γ = 60.01°
Atoms (fractional coordinates):
Cs: 0.230 0.230 0.180
Cs: 0.770 0.770 0.820
Ta: 0.030 0.030 0.593
Ta: 0.970 0.970 0.407
Be: 0.333 0.333 0.501
Be: 0.667 0.667 0.499

Values from the calculation:
The space group is C2/m. The formation enthalpy at 0 K is 0.63 eV per atom. As for the energy above the most stable polymorph in this dataset: 0.47 eV/f.u. The spin magnetization is 0.1 Bohr magnetons per cell.

***

6.
DFT (GGA-PBE) results for a relaxed Ca4TbHo3Se8 crystal.

a = 8.305 Å, b = 8.305 Å, c = 8.305 Å
α = 59.15°, β = 59.15°, γ = 59.15°
Atoms (fractional coordinates):
Ca: 0.000 0.000 0.000
Ca: 0.000 0.500 0.500
Ca: 0.500 0.000 0.500
Ca: 0.500 0.500 0.000
Tb: 0.500 0.500 0.500
Ho: 0.000 0.000 0.500
Ho: 0.000 0.500 0.000
Ho: 0.500 0.000 0.000
Se: 0.247 0.749 0.749
Se: 0.248 0.248 0.248
Se: 0.251 0.251 0.753
Se: 0.251 0.753 0.251
Se: 0.749 0.247 0.749
Se: 0.749 0.749 0.247
Se: 0.752 0.752 0.752
Se: 0.753 0.251 0.251

Values from the calculation:
For the formation energy from raw total energies, the calculation gives -1.87 eV/atom. The space group is R-3m. The spin magnetization is 0.0 Bohr magnetons per cell.

***

7.
DFT (GGA-PBE) results for a relaxed AcNi3Ir2 crystal.

a = 6.407 Å, b = 6.407 Å, c = 5.159 Å
α = 90.00°, β = 90.00°, γ = 80.34°
Atoms (fractional coordinates):
Ac: 0.192 0.808 0.750
Ac: 0.808 0.192 0.250
Ni: 0.039 0.571 0.250
Ni: 0.426 0.574 0.250
Ni: 0.429 0.961 0.250
Ni: 0.571 0.039 0.750
Ni: 0.574 0.426 0.750
Ni: 0.961 0.429 0.750
Ir: 0.287 0.287 0.000
Ir: 0.287 0.287 0.500
Ir: 0.713 0.713 0.000
Ir: 0.713 0.713 0.500

Values from the calculation:
The space group is Cmcm. The formation enthalpy at 0 K is -0.26 eV per atom. The spin magnetization is 0.0 Bohr magnetons per cell.